No. 1
The following is a DFT calculation (PBE-GGA) of DyMg4Sc after structural relaxation.

Output
* calculated volume: 295 Å³ per cell
* E: -2.917 eV per atom
* formation energy from the elements: -0.031 eV per atom
* crystal system: monoclinic
* E above lowest polymorph: 2 meV/atom

Cell and atoms, written as CIF:
```
data_DyMg4Sc
_chemical_formula_sum 'Dy2 Mg8 Sc2'
_cell_length_a 13.795
_cell_length_b 3.312
_cell_length_c 6.643
_cell_angle_alpha 90.00
_cell_angle_beta 103.80
_cell_angle_gamma 90.00
_symmetry_space_group_name_H-M 'C 1 2/m 1'
_symmetry_Int_Tables_number 12
loop_
_symmetry_equiv_pos_as_xyz
'x,y,z'
'-x,-y,-z'
'-x,y,-z'
'x,-y,z'
'x+1/2,y+1/2,z'
'-x+1/2,-y+1/2,-z'
'-x+1/2,y+1/2,-z'
'x+1/2,-y+1/2,z'
loop_
_atom_site_label
_atom_site_fract_x
_atom_site_fract_y
_atom_site_fract_z
_atom_site_occupancy
Dy1 0.000 0.000 0.000 1
Mg1 0.169 0.500 0.342 1
Mg2 0.173 0.500 0.829 1
Sc1 0.000 0.000 0.500 1
```

No. 2
The following is a DFT calculation (PBE-GGA) of DyMg2Sc after structural relaxation.

Output
* calculated volume: 311 Å³ per cell
* E: -3.471 eV per atom
* formation energy from the elements: 0.060 eV per atom
* crystal system: trigonal

Cell and atoms, written as CIF:
```
data_DyMg2Sc
_chemical_formula_sum 'Dy3 Mg6 Sc3'
_cell_length_a 3.3116
_cell_length_b 3.3116
_cell_length_c 32.7585
_cell_angle_alpha 90.00
_cell_angle_beta 90.00
_cell_angle_gamma 120.00
_symmetry_space_group_name_H-M 'R 3 m'
_symmetry_Int_Tables_number 160
_symmetry_space_group_name_Hall 'R 3 -2"'
loop_
_atom_site_label
_atom_site_fract_x
_atom_site_fract_y
_atom_site_fract_z
_atom_site_occupancy
Dy1 0.0000 0.0000 0.0000 1
Mg1 0.0000 0.0000 0.5814 1
Mg2 0.0000 0.0000 0.7549 1
Sc1 0.0000 0.0000 0.1690 1
```

No. 3
The following is a DFT calculation (PBE-GGA) of Dy4Mg3Sc after structural relaxation.

Output
* calculated volume: 220 Å³ per cell
* E: -3.730 eV per atom
* formation energy from the elements: -0.040 eV per atom
* crystal system: tetragonal

Cell and atoms, written as CIF:
```
data_Dy4Mg3Sc
_chemical_formula_sum 'Dy4 Mg3 Sc1'
_cell_length_a 3.689
_cell_length_b 3.689
_cell_length_c 16.147
_cell_angle_alpha 90.00
_cell_angle_beta 90.00
_cell_angle_gamma 90.00
_symmetry_space_group_name_H-M 'P 4/m m m'
_symmetry_Int_Tables_number 123
_symmetry_space_group_name_Hall '-P 4 2'
loop_
_atom_site_label
_atom_site_fract_x
_atom_site_fract_y
_atom_site_fract_z
_atom_site_occupancy
Dy1 0.000 0.000 0.119 1
Dy2 0.000 0.000 0.369 1
Mg1 0.500 0.500 0.000 1
Mg2 0.500 0.500 0.244 1
Sc1 0.500 0.500 0.500 1
```

No. 4
The following is a DFT calculation (PBE-GGA) of DyMg3Sc after structural relaxation.

Output
* calculated volume: 254 Å³ per cell
* E: -3.061 eV per atom
* formation energy from the elements: 0.082 eV per atom
* crystal system: monoclinic
* E above lowest polymorph: 0 meV/atom

Cell and atoms, written as CIF:
```
data_DyMg3Sc
_chemical_formula_sum 'Dy2 Mg6 Sc2'
_cell_length_a 5.447
_cell_length_b 6.409
_cell_length_c 7.774
_cell_angle_alpha 90.00
_cell_angle_beta 110.45
_cell_angle_gamma 90.00
_symmetry_space_group_name_H-M 'P 1 21/m 1'
_symmetry_Int_Tables_number 11
loop_
_symmetry_equiv_pos_as_xyz
'x,y,z'
'-x,-y,-z'
'-x,y+1/2,-z'
'x,-y+1/2,z'
loop_
_atom_site_label
_atom_site_fract_x
_atom_site_fract_y
_atom_site_fract_z
_atom_site_occupancy
Dy1 0.114 0.250 0.228 1
Mg1 0.314 0.001 0.628 1
Mg2 0.494 0.250 0.987 1
Sc1 0.126 0.750 0.254 1
```

No. 5
The following is a DFT calculation (PBE-GGA) of Dy2MgSc3 after structural relaxation.

Output
* calculated volume: 638 Å³ per cell
* E: -4.907 eV per atom
* formation energy from the elements: 0.059 eV per atom
* crystal system: monoclinic
* E above lowest polymorph: 6 meV/atom

Cell and atoms, written as CIF:
```
data_Dy2MgSc3
_chemical_formula_sum 'Dy8 Mg4 Sc12'
_cell_length_a 15.955
_cell_length_b 5.269
_cell_length_c 9.285
_cell_angle_alpha 90.00
_cell_angle_beta 125.19
_cell_angle_gamma 90.00
_symmetry_space_group_name_H-M 'C 1 2/m 1'
_symmetry_Int_Tables_number 12
loop_
_symmetry_equiv_pos_as_xyz
'x,y,z'
'-x,-y,-z'
'-x,y,-z'
'x,-y,z'
'x+1/2,y+1/2,z'
'-x+1/2,-y+1/2,-z'
'-x+1/2,y+1/2,-z'
'x+1/2,-y+1/2,z'
loop_
_atom_site_label
_atom_site_fract_x
_atom_site_fract_y
_atom_site_fract_z
_atom_site_occupancy
Dy1 0.040 0.000 0.363 1
Dy2 0.192 0.500 0.370 1
Mg1 0.118 0.500 0.638 1
Sc1 0.057 0.500 0.906 1
Sc2 0.134 0.000 0.124 1
Sc3 0.211 0.000 0.871 1
```

No. 6
The following is a DFT calculation (PBE-GGA) of Dy2Mg4Sc after structural relaxation.

Output
* calculated volume: 451 Å³ per cell
* E: -2.600 eV per atom
* formation energy from the elements: 0.531 eV per atom
* crystal system: tetragonal
* E above lowest polymorph: 504 meV/atom

Cell and atoms, written as CIF:
```
data_Dy2Mg4Sc
_chemical_formula_sum 'Dy4 Mg8 Sc2'
_cell_length_a 5.331
_cell_length_b 5.331
_cell_length_c 15.857
_cell_angle_alpha 90.00
_cell_angle_beta 90.00
_cell_angle_gamma 90.00
_symmetry_space_group_name_H-M 'I 4/m m m'
_symmetry_Int_Tables_number 139
_symmetry_space_group_name_Hall '-I 4 2'
loop_
_atom_site_label
_atom_site_fract_x
_atom_site_fract_y
_atom_site_fract_z
_atom_site_occupancy
Dy1 0.000 0.000 0.108 1
Mg1 0.000 0.000 0.318 1
Mg2 0.000 0.500 0.000 1
Sc1 0.000 0.000 0.500 1
```

No. 7
The following is a DFT calculation (PBE-GGA) of Dy6MgSc2 after structural relaxation.

Output
* calculated volume: 524 Å³ per cell
* E: -4.632 eV per atom
* formation energy from the elements: 0.020 eV per atom
* crystal system: monoclinic
* E above lowest polymorph: 0 meV/atom

Cell and atoms, written as CIF:
```
data_Dy6MgSc2
_chemical_formula_sum 'Dy12 Mg2 Sc4'
_cell_length_a 18.065
_cell_length_b 3.490
_cell_length_c 9.219
_cell_angle_alpha 90.00
_cell_angle_beta 115.72
_cell_angle_gamma 90.00
_symmetry_space_group_name_H-M 'C 1 2/m 1'
_symmetry_Int_Tables_number 12
loop_
_symmetry_equiv_pos_as_xyz
'x,y,z'
'-x,-y,-z'
'-x,y,-z'
'x,-y,z'
'x+1/2,y+1/2,z'
'-x+1/2,-y+1/2,-z'
'-x+1/2,y+1/2,-z'
'x+1/2,-y+1/2,z'
loop_
_atom_site_label
_atom_site_fract_x
_atom_site_fract_y
_atom_site_fract_z
_atom_site_occupancy
Dy1 0.020 0.000 0.337 1
Dy2 0.166 0.000 0.991 1
Dy3 0.187 0.500 0.335 1
Mg1 0.000 0.500 0.000 1
Sc1 0.148 0.500 0.664 1
```

No. 8
The following is a DFT calculation (PBE-GGA) of Dy2Mg2Sc after structural relaxation.

Output
* calculated volume: 531 Å³ per cell
* E: -3.779 eV per atom
* formation energy from the elements: -0.034 eV per atom
* crystal system: orthorhombic
* E above lowest polymorph: 0 meV/atom

Cell and atoms, written as CIF:
```
data_Dy2Mg2Sc
_chemical_formula_sum 'Dy8 Mg8 Sc4'
_cell_length_a 3.633
_cell_length_b 27.550
_cell_length_c 5.305
_cell_angle_alpha 90.00
_cell_angle_beta 90.00
_cell_angle_gamma 90.00
_symmetry_space_group_name_H-M 'C m c m'
_symmetry_Int_Tables_number 63
_symmetry_space_group_name_Hall '-C 2c 2'
loop_
_atom_site_label
_atom_site_fract_x
_atom_site_fract_y
_atom_site_fract_z
_atom_site_occupancy
Dy1 0.000 0.042 0.250 1
Dy2 0.000 0.237 0.250 1
Mg1 0.000 0.360 0.750 1
Mg2 0.000 0.439 0.250 1
Sc1 0.000 0.155 0.750 1
```

No. 9
The following is a DFT calculation (PBE-GGA) of Dy12MgSc6 after structural relaxation.

Output
* calculated volume: 1683 Å³ per cell
* E: -4.851 eV per atom
* formation energy from the elements: 0.139 eV per atom
* crystal system: trigonal

Cell and atoms, written as CIF:
```
data_Dy12MgSc6
_chemical_formula_sum 'Dy36 Mg3 Sc18'
_cell_length_a 11.4681
_cell_length_b 11.4681
_cell_length_c 14.7761
_cell_angle_alpha 90.00
_cell_angle_beta 90.00
_cell_angle_gamma 120.00
_symmetry_space_group_name_H-M 'R -3'
_symmetry_Int_Tables_number 148
_symmetry_space_group_name_Hall '-R 3'
loop_
_atom_site_label
_atom_site_fract_x
_atom_site_fract_y
_atom_site_fract_z
_atom_site_occupancy
Dy1 0.0088 0.1836 0.3153 1
Dy2 0.0463 0.8461 0.9130 1
Mg1 0.0000 0.0000 0.5000 1
Sc1 0.0255 0.4334 0.1918 1
```

No. 10
The following is a DFT calculation (PBE-GGA) of Dy2MgSc2 after structural relaxation.

Output
* calculated volume: 542 Å³ per cell
* E: -4.659 eV per atom
* formation energy from the elements: 0.033 eV per atom
* crystal system: monoclinic
* E above lowest polymorph: 4 meV/atom

Cell and atoms, written as CIF:
```
data_Dy2MgSc2
_chemical_formula_sum 'Dy8 Mg4 Sc8'
_cell_length_a 11.393
_cell_length_b 5.362
_cell_length_c 9.239
_cell_angle_alpha 90.00
_cell_angle_beta 106.30
_cell_angle_gamma 90.00
_symmetry_space_group_name_H-M 'C 1 2/m 1'
_symmetry_Int_Tables_number 12
loop_
_symmetry_equiv_pos_as_xyz
'x,y,z'
'-x,-y,-z'
'-x,y,-z'
'x,-y,z'
'x+1/2,y+1/2,z'
'-x+1/2,-y+1/2,-z'
'-x+1/2,y+1/2,-z'
'x+1/2,-y+1/2,z'
loop_
_atom_site_label
_atom_site_fract_x
_atom_site_fract_y
_atom_site_fract_z
_atom_site_occupancy
Dy1 0.060 0.000 0.345 1
Dy2 0.241 0.500 0.246 1
Mg1 0.136 0.500 0.556 1
Sc1 0.064 0.500 0.861 1
Sc2 0.142 0.000 0.033 1
```